(1)
BaCa2VCl8: relaxed, PBE. Values from VASP.

```
&SYSTEM
  ibrav = 0, nat = 12, ntyp = 4
/
ATOMIC_SPECIES
Cl 35.45 Cl.upf
Ba 137.33 Ba.upf
Ca 40.08 Ca.upf
V 50.94 V.upf
CELL_PARAMETERS angstrom
-3.7974 -4.6121 -2.5174
2.7815 -4.3845 3.6164
-5.7354 1.3928 6.0997
ATOMIC_POSITIONS angstrom
Cl -3.7238 -4.5486 -0.0159
Cl -3.4982 -2.2501 3.1298
Cl -7.0827 -3.7328 3.5564
Cl -6.2031 -1.1637 6.2436
Ba -2.8677 0.6964 3.0499
Ca -4.9079 -3.4298 5.2290
Ca -1.8434 -4.1739 1.9697
Cl -3.0274 -3.0551 7.2146
V 0.0000 0.0000 0.0000
Cl 0.3314 -3.8709 3.6423
Cl -3.2530 -5.3536 4.0689
Cl -0.5481 -6.4400 0.9551
```

Values from the calculation:
- formation energy without anion corrections (eV/atom) = -2.053

=====

(2)
BaCa2ZnCl8: relaxed, PBE. Values from VASP.

```
&SYSTEM
  ibrav = 0, nat = 12, ntyp = 4
/
ATOMIC_SPECIES
Cl 35.45 Cl.upf
Ca 40.08 Ca.upf
Ba 137.33 Ba.upf
Zn 65.41 Zn.upf
CELL_PARAMETERS angstrom
6.5357 0.0797 -0.0046
0.1371 6.3860 -0.0076
0.0055 0.0094 8.4942
ATOMIC_POSITIONS angstrom
Cl 4.5829 4.7094 -0.0084
Cl 1.2199 5.0322 6.7514
Cl 4.3112 4.5589 4.2388
Cl 1.2171 5.0271 1.7292
Ca 3.3376 3.2349 1.9560
Cl 5.4611 1.4481 6.7528
Ba 0.0027 0.0047 4.2471
Cl 2.3671 1.9162 4.2432
Cl 5.4584 1.4429 1.7306
Zn 0.0000 0.0000 0.0000
Ca 3.3406 3.2402 6.5260
Cl 2.0953 1.7657 8.4904
```

Values from the calculation:
- formation energy without anion corrections (eV/atom) = -2.039

=====

(3)
BaCa2Co: relaxed, PBE. Values from VASP.

```
&SYSTEM
  ibrav = 0, nat = 4, ntyp = 3
/
ATOMIC_SPECIES
Ba 137.33 Ba.upf
Co 58.93 Co.upf
Ca 40.08 Ca.upf
CELL_PARAMETERS angstrom
-1.4201 -5.2302 -1.0874
-3.0443 -2.8488 3.6291
-5.2540 -1.2493 -1.1785
ATOMIC_POSITIONS angstrom
Ba -4.8592 -4.6641 0.6816
Co 0.0000 0.0000 0.0000
Ca -7.2888 -6.9962 1.0224
Ca -2.4296 -2.3321 0.3408
```

Values from the calculation:
- distance to the lowest polymorph of the same formula (kJ/mol of formula units) = 112
- E_form (eV/atom) = 0.57

=====

(4)
BaCa3Co: relaxed, PBE. Values from VASP.

```
&SYSTEM
  ibrav = 0, nat = 5, ntyp = 3
/
ATOMIC_SPECIES
Co 58.93 Co.upf
Ca 40.08 Ca.upf
Ba 137.33 Ba.upf
CELL_PARAMETERS angstrom
5.6471 0.0000 0.0000
0.0000 5.6471 0.0000
0.0000 0.0000 5.6471
ATOMIC_POSITIONS angstrom
Co 0.0000 0.0000 0.0000
Ca 0.0000 2.8235 0.0000
Ca 2.8235 0.0000 0.0000
Ba 2.8235 2.8235 2.8235
Ca 0.0000 0.0000 2.8235
```

Values from the calculation:
- distance to the lowest polymorph of the same formula (kJ/mol of formula units) = 0
- E_form (eV/atom) = 0.14

=====

(5)
BaCa2Co: relaxed, PBE. Values from VASP.

```
&SYSTEM
  ibrav = 0, nat = 4, ntyp = 3
/
ATOMIC_SPECIES
Ca 40.08 Ca.upf
Ba 137.33 Ba.upf
Co 58.93 Co.upf
CELL_PARAMETERS angstrom
6.7508 0.0252 0.1499
5.6051 3.7625 0.1499
3.6780 1.1275 5.7034
ATOMIC_POSITIONS angstrom
Ca 3.5356 1.0838 5.2892
Ba 3.2490 0.9960 1.5694
Co 8.3697 2.5657 4.0045
Ca 12.5745 3.8547 3.8453
```

Values from the calculation:
- distance to the lowest polymorph of the same formula (kJ/mol of formula units) = 2
- E_form (eV/atom) = 0.28

=====

(6)
BaCa2Co: relaxed, PBE. Values from VASP.

```
&SYSTEM
  ibrav = 0, nat = 4, ntyp = 3
/
ATOMIC_SPECIES
Co 58.93 Co.upf
Ca 40.08 Ca.upf
Ba 137.33 Ba.upf
CELL_PARAMETERS angstrom
4.8549 0.9565 0.0000
-0.9606 4.8541 0.0000
0.0000 0.0000 5.5163
ATOMIC_POSITIONS angstrom
Co 2.4274 0.4782 2.7582
Ca 1.9471 2.9053 0.0000
Ca 0.0000 0.0000 0.0000
Ba -0.4803 2.4270 2.7582
```

Values from the calculation:
- distance to the lowest polymorph of the same formula (kJ/mol of formula units) = 96
- E_form (eV/atom) = 0.53

=====

(7)
BaCaCo3: relaxed, PBE. Values from VASP.

```
&SYSTEM
  ibrav = 0, nat = 5, ntyp = 3
/
ATOMIC_SPECIES
Ca 40.08 Ca.upf
Ba 137.33 Ba.upf
Co 58.93 Co.upf
CELL_PARAMETERS angstrom
-4.3205 2.1102 1.7826
0.4110 -2.7814 4.2886
2.7316 3.7561 2.1742
ATOMIC_POSITIONS angstrom
Ca 0.0000 0.0000 0.0000
Ba -0.5889 1.5424 4.1228
Co -2.1603 1.0551 0.8913
Co 0.2055 -1.3907 2.1443
Co 1.3658 1.8781 1.0871
```

Values from the calculation:
- distance to the lowest polymorph of the same formula (kJ/mol of formula units) = 0
- E_form (eV/atom) = 1.33

=====

(8)
BaCa2Co: relaxed, PBE. Values from VASP.

```
&SYSTEM
  ibrav = 0, nat = 4, ntyp = 3
/
ATOMIC_SPECIES
Ba 137.33 Ba.upf
Co 58.93 Co.upf
Ca 40.08 Ca.upf
CELL_PARAMETERS angstrom
6.4103 0.3675 0.0000
2.2025 6.0313 0.0000
-4.3064 -3.1994 3.5279
ATOMIC_POSITIONS angstrom
Ba 3.2052 0.1837 1.7640
Co 1.1012 3.0156 1.7640
Ca 4.3064 3.1994 0.0000
Ca 0.0000 0.0000 0.0000
```

Values from the calculation:
- distance to the lowest polymorph of the same formula (kJ/mol of formula units) = 102
- E_form (eV/atom) = 0.54

=====

(9)
BaCa2Co: relaxed, PBE. Values from VASP.

```
&SYSTEM
  ibrav = 0, nat = 4, ntyp = 3
/
ATOMIC_SPECIES
Ca 40.08 Ca.upf
Co 58.93 Co.upf
Ba 137.33 Ba.upf
CELL_PARAMETERS angstrom
-5.1981 -2.2466 2.3577
-1.3779 -4.9634 -3.3305
5.2442 1.5084 2.8016
ATOMIC_POSITIONS angstrom
Ca 0.0000 0.0000 0.0000
Co -3.2880 -3.6050 -0.4864
Ba -1.6210 -2.1716 2.3365
Ca 0.2892 -3.5300 -0.5076
```

Values from the calculation:
- distance to the lowest polymorph of the same formula (kJ/mol of formula units) = 99
- E_form (eV/atom) = 0.54

=====

(10)
BaCa2Co: relaxed, PBE. Values from VASP.

```
&SYSTEM
  ibrav = 0, nat = 4, ntyp = 3
/
ATOMIC_SPECIES
Ca 40.08 Ca.upf
Co 58.93 Co.upf
Ba 137.33 Ba.upf
CELL_PARAMETERS angstrom
10.7866 0.0906 0.0537
9.9965 4.0532 0.0537
9.9965 1.9931 3.5297
ATOMIC_POSITIONS angstrom
Ca 30.6107 6.1033 3.6172
Co 15.5244 3.0953 1.8345
Ba 23.9355 4.7724 2.8284
Ca 6.8782 1.3714 0.8128
```

Values from the calculation:
- distance to the lowest polymorph of the same formula (kJ/mol of formula units) = 30
- E_form (eV/atom) = 0.36

=====

(11)
Ba2CaCo: relaxed, PBE. Values from VASP.

```
&SYSTEM
  ibrav = 0, nat = 4, ntyp = 3
/
ATOMIC_SPECIES
Ba 137.33 Ba.upf
Ca 40.08 Ca.upf
Co 58.93 Co.upf
CELL_PARAMETERS angstrom
-4.8169 -9.8355 -2.0014
-1.7792 -10.9639 0.7560
-5.4866 -9.4384 2.1817
ATOMIC_POSITIONS angstrom
Ba -0.3282 -0.8214 0.0254
Ca -3.0207 -7.5595 0.2341
Ba -5.7131 -14.2975 0.4427
Co -9.0620 -22.6784 0.7022
```

Values from the calculation:
- distance to the lowest polymorph of the same formula (kJ/mol of formula units) = 36
- E_form (eV/atom) = 0.38

=====

(12)
BaCa2Co: relaxed, PBE. Values from VASP.

```
&SYSTEM
  ibrav = 0, nat = 4, ntyp = 3
/
ATOMIC_SPECIES
Ba 137.33 Ba.upf
Co 58.93 Co.upf
Ca 40.08 Ca.upf
CELL_PARAMETERS angstrom
-1.1119 0.9995 3.6266
-3.5905 -2.2584 -0.4784
2.1448 -8.0617 2.8794
ATOMIC_POSITIONS angstrom
Ba -1.1875 -6.4310 3.5298
Co -1.7799 -4.9060 0.8064
Ca -0.8117 -2.7992 2.6441
Ca -3.0919 -2.6029 -0.2306
```

Values from the calculation:
- distance to the lowest polymorph of the same formula (kJ/mol of formula units) = 2
- E_form (eV/atom) = 0.28

=====

| no. | final energy (eV/cell) |
| --- | --- |
| 1 | -54.46 |
| 2 | -46.44 |
| 3 | -10.76 |
| 4 | -14.32 |
| 5 | -11.90 |
| 6 | -10.93 |
| 7 | -18.59 |
| 8 | -10.87 |
| 9 | -10.89 |
| 10 | -11.61 |
| 11 | -11.41 |
| 12 | -11.90 |